{"formula": "SrSnBr3", "functional": "GGA-PBEsol", "state": "relaxed", "total_energy_ev_per_atom": -3.278, "sg": "Pm-3m, No. 221", "dos_at_fermi_per_ev_atom": 0.4666, "cell": [[5.763, 0.000, 0.000], [0.000, 5.763, 0.000], [0.000, 0.000, 5.763]], "species": ["Sr", "Sn", "Br", "Br", "Br"], "fractional_positions": [[0.000, 0.000, 0.000], [0.500, 0.500, 0.500], [0.000, 0.500, 0.000], [0.000, 0.000, 0.500], [0.500, 0.000, 0.000]]}

{"formula": "Cd4Si3", "functional": "GGA-PBEsol", "state": "relaxed", "total_energy_ev_per_atom": -2.528, "sg": "P-43m, No. 215", "dos_at_fermi_per_ev_atom": 0.5627, "cell": [[-4.542, 3.011, 0.219], [-0.824, -0.857, -5.323], [-2.905, -4.466, 1.169]], "species": ["Cd", "Cd", "Cd", "Cd", "Si", "Si", "Si"], "fractional_positions": [[0.190, 0.810, 0.190], [0.810, 0.190, 0.190], [0.810, 0.810, 0.810], [0.190, 0.190, 0.810], [0.500, 0.000, 0.500], [0.500, 0.500, 0.000], [0.000, 0.500, 0.500]]}